Here is Np3Ni2P4 after structural relaxation from the Alexandria database. Energies are from PBE.

Lattice parameters (Å, degrees): 5.529 5.529 7.733 111.86 111.86 41.96
Element x y z (fractional)
Np 0.000 0.000 0.000
Np 0.405 0.405 0.347
Np 0.595 0.595 0.653
Ni 0.310 0.310 0.677
Ni 0.690 0.690 0.323
P 0.112 0.112 0.394
P 0.277 0.277 0.941
P 0.723 0.723 0.059
P 0.888 0.888 0.606

Calculated formation energy: -709.1 meV per atom
VASP energy: -78.4 eV per formula unit
SG: C2/m, No. 12
Total moment: 7.402 μB/f.u.